No. 1
VASP calculation (GGA-PBE) on a relaxed Zr2TlBiCl crystal.

Output
Its total magnetic moment is 0.23 μB/atom. The space group is P4/mmm, No. 123. For the formation energy from raw total energies, the calculation gives 3.82 eV per formula unit.

Unit cell a=5.6019 b=5.6019 c=5.4195 alpha=90.00 beta=90.00 gamma=90.00
Last column: nearest neighbours and their distance in Å.
Fractional positions:
1 Zr 0.0000 0.5000 0.0000  2 Bi 2.80
2 Zr 0.5000 0.0000 0.0000  2 Bi 2.80
3 Tl 0.0000 0.0000 0.5000  8 Zr 3.90, 4 Cl 3.96
4 Bi 0.5000 0.5000 0.0000  2 Cl 2.71, 4 Zr 2.80
5 Cl 0.5000 0.5000 0.5000  2 Bi 2.71

---

No. 2
VASP calculation (GGA-PBE) on a relaxed SmVTc crystal.

Output
Its total magnetic moment is 0.00 μB/atom. As for the energy of formation from the pure elements: 341.1 meV per atom. The space group is P-3m1, No. 164.

Unit cell a=3.2311 b=3.2311 c=13.3287 alpha=90.00 beta=90.00 gamma=120.00
Last column: nearest neighbours and their distance in Å.
Fractional positions:
1 Sm 0.3333 0.6667 0.1311  3 Tc 3.04, 6 Sm 3.23
2 Sm 0.6667 0.3333 0.8689  3 Tc 3.04, 6 Sm 3.23
3 V 0.3333 0.6667 0.4283  3 Tc 2.43, 3 V 2.67
4 V 0.6667 0.3333 0.5717  3 Tc 2.43, 3 V 2.67
5 Tc 0.3333 0.6667 0.6891  3 V 2.43
6 Tc 0.6667 0.3333 0.3109  3 V 2.43

---

No. 3
VASP calculation (GGA-PBE) on a relaxed AcLa3B2N6 crystal.

Output
Its total magnetic moment is 0.00 μB/atom. The space group is P-3m1, No. 164. For the formation energy from raw total energies, the calculation gives -12.23 eV per formula unit.

Unit cell a=5.8130 b=5.8130 c=6.6389 alpha=90.00 beta=90.00 gamma=120.00
Last column: nearest neighbours and their distance in Å.
Fractional positions:
1 Ac 0.0000 0.0000 0.0000  6 N 2.49
2 La 0.0000 0.0000 0.5000  6 N 2.56
3 La 0.3333 0.6667 0.1799  1 B 2.91, 9 N 2.94-3.16
4 La 0.6667 0.3333 0.8201  1 B 2.91, 9 N 2.94-3.16
5 B 0.3333 0.6667 0.7413  3 N 1.46
6 B 0.6667 0.3333 0.2587  3 N 1.46
7 N 0.1887 0.3774 0.7575  1 B 1.46
8 N 0.1887 0.8113 0.7575  1 B 1.46
9 N 0.3774 0.1887 0.2425  1 B 1.46
10 N 0.6226 0.8113 0.7575  1 B 1.46
11 N 0.8113 0.1887 0.2425  1 B 1.46
12 N 0.8113 0.6226 0.2425  1 B 1.46

---

No. 4
VASP calculation (GGA-PBE) on a relaxed LiCuSe2Br crystal.

Output
Its total magnetic moment is 0.11 μB/atom. The space group is P4/mmm, No. 123. For the formation energy from raw total energies, the calculation gives -0.53 eV per formula unit.

Unit cell a=4.5690 b=4.5690 c=6.7311 alpha=90.00 beta=90.00 gamma=90.00
Last column: nearest neighbours and their distance in Å.
Fractional positions:
1 Li 0.0000 0.0000 0.0000  4 Br 3.23
2 Cu 0.5000 0.5000 0.5000  4 Se 2.28
3 Se 0.0000 0.5000 0.5000  2 Cu 2.28
4 Se 0.5000 0.0000 0.5000  2 Cu 2.28
5 Br 0.5000 0.5000 0.0000  4 Li 3.23, 2 Cu 3.37

---

No. 5
VASP calculation (GGA-PBE) on a relaxed KBe2Ru crystal.

Output
Its total magnetic moment is 0.00 μB/atom. As for the energy of formation from the pure elements: 316.3 meV per atom. The space group is R-3m, No. 166.

Unit cell a=6.3750 b=6.3750 c=6.3750 alpha=35.58 beta=35.58 gamma=35.58
Last column: nearest neighbours and their distance in Å.
Fractional positions:
1 K 0.0000 0.0000 0.0000  2 Be 3.17
2 Be 0.1770 0.1770 0.1770  3 Ru 2.26, 3 Be 2.28
3 Be 0.8230 0.8230 0.8230  3 Ru 2.26, 3 Be 2.28
4 Ru 0.5000 0.5000 0.5000  6 Be 2.26

---

No. 6
VASP calculation (GGA-PBE) on a relaxed Mn2SbAs crystal.

Output
Its total magnetic moment is 1.69 μB/atom. The space group is Cmmm, No. 65. For the formation energy from raw total energies, the calculation gives 0.84 eV per formula unit.

Unit cell a=4.5376 b=4.5376 c=3.4658 alpha=90.00 beta=90.00 gamma=98.83
Last column: nearest neighbours and their distance in Å.
Fractional positions:
1 Mn 0.0000 0.5000 0.0000  4 As 2.85, 4 Sb 2.85, 2 Mn 2.95
2 Mn 0.5000 0.0000 0.0000  4 As 2.85, 4 Sb 2.85, 2 Mn 2.95
3 Sb 0.0000 0.0000 0.5000  8 Mn 2.85, 2 As 2.95
4 As 0.5000 0.5000 0.5000  8 Mn 2.85, 2 Sb 2.95